(1)
# NbNi6Ir2, optimized geometry, DFT GGA-PBE
# uncorrected energy: -6.91 eV/atom
# formation energy: 0.25 eV/f.u.
# total magnetization: 0.001 μB/cell
data_NbNi6Ir2
_space_group_name_H-M_alt 'C 1 2/m 1'
_space_group_IT_number 12
_cell_length_a 6.647
_cell_length_b 13.013
_cell_length_c 2.693
_cell_angle_alpha 90.00
_cell_angle_beta 100.03
_cell_angle_gamma 90.00
loop_
_space_group_symop_operation_xyz
'x,y,z'
'-x,-y,-z'
'-x,y,-z'
'x,-y,z'
'x+1/2,y+1/2,z'
'-x+1/2,-y+1/2,-z'
'-x+1/2,y+1/2,-z'
'x+1/2,-y+1/2,z'
loop_
_atom_site_label
_atom_site_type_symbol
_atom_site_fract_x
_atom_site_fract_y
_atom_site_fract_z
Nb1 Nb 0.000 0.000 0.000
Ni1 Ni 0.155 0.500 0.339
Ni2 Ni 0.171 0.342 0.868
Ir1 Ir 0.000 0.182 0.500



(2)
# Ac3NiPb, optimized geometry, DFT GGA-PBE
# uncorrected energy: -4.64 eV/atom
# formation energy: -1.41 eV/f.u.
# E above lowest polymorph: 6.8 kJ per mole of atoms
# total magnetization: 0.000 μB/cell
data_Ac3NiPb
_space_group_name_H-M_alt 'P m -3 m'
_space_group_IT_number 221
_space_group_name_Hall '-P 4 2 3'
_cell_length_a 5.659
_cell_length_b 5.659
_cell_length_c 5.659
_cell_angle_alpha 90.00
_cell_angle_beta 90.00
_cell_angle_gamma 90.00
loop_
_atom_site_label
_atom_site_type_symbol
_atom_site_fract_x
_atom_site_fract_y
_atom_site_fract_z
Ac1 Ac 0.000 0.000 0.500
Ni1 Ni 0.000 0.000 0.000
Pb1 Pb 0.500 0.500 0.500